Here is Ac2ErIn3Te6 after structural relaxation from Alexandria. Energies are from PBE-GGA.

Values from the calculation:
ΔE_f (raw) = -1011 meV/atom
E = -4.331 eV/atom
V = 38.03 Å³ per atom

Unit cell a=8.0613 b=8.0613 c=8.5319 alpha=99.05 beta=99.05 gamma=119.89
With the nearest neighbours (Å) after each atom.
Atoms (fractional coordinates):
Ac 0.1662 0.8338 0.0000  6 Te 3.32-3.34
Ac 0.8338 0.1662 0.0000  6 Te 3.32-3.34
Er 0.5000 0.5000 0.0000  6 Te 3.11-3.14
In 0.0000 0.0000 0.5000  6 Te 3.43-3.59
In 0.3309 0.6691 0.5000  6 Te 3.42-3.60
In 0.6691 0.3309 0.5000  6 Te 3.42-3.60
Te 0.1127 0.4249 0.7748  1 Er 3.11, 2 Ac 3.32-3.33, 2 In 3.43
Te 0.2645 0.2645 0.2307  1 Er 3.14, 2 Ac 3.34, 2 In 3.42
Te 0.4249 0.1127 0.7748  1 Er 3.11, 2 Ac 3.32-3.33, 2 In 3.43
Te 0.5751 0.8873 0.2252  1 Er 3.11, 2 Ac 3.32-3.33, 2 In 3.43
Te 0.7355 0.7355 0.7693  1 Er 3.14, 2 Ac 3.34, 2 In 3.42
Te 0.8873 0.5751 0.2252  1 Er 3.11, 2 Ac 3.32-3.33, 2 In 3.43



Here is AcErThIn after structural relaxation from Alexandria. Energies are from PBE-GGA.

Values from the calculation:
Calculated formation energy = 0.036 eV per atom
E = -4.672 eV/atom
V = 31.48 Å³ per atom

Unit cell a=5.6260 b=5.6260 c=5.6260 alpha=60.00 beta=60.00 gamma=60.00
With the nearest neighbours (Å) after each atom.
Atoms (fractional coordinates):
Ac 0.0000 0.0000 0.0000  4 Er 3.45, 4 Th 3.45
Er 0.7500 0.7500 0.7500  4 In 3.45, 4 Ac 3.45
Th 0.2500 0.2500 0.2500  4 In 3.45, 4 Ac 3.45
In 0.5000 0.5000 0.5000  4 Th 3.45, 4 Er 3.45



Among the records above, which one has the lowest V?
AcErThIn



Which value of V does entry 1 give?
38.03 Å³ per atom



Which formula does entry 2 have?
AcErThIn



Number 2 is which compound?
AcErThIn